# 1
DFT (PBEsol) results for a relaxed structure of CoW3.

The calculation puts the calculated volume at 58 Å³ per cell. Its energy of formation is 0.38 eV/atom. The energy is -47.63 eV for the cell shown.

a = 2.724 Å, b = 2.724 Å, c = 9.238 Å
α = 81.52°, β = 81.52°, γ = 60.00°
Last column: magnetic moment on the atom in μB.
Element x y z (fractional)
Co 0.000 0.000 0.000  0.73
W 0.257 0.257 0.229  0.00
W 0.500 0.500 0.500  0.01
W 0.743 0.743 0.771  0.00

=====

# 2
DFT (PBEsol) results for a relaxed structure of LiZnPt2.

The calculation puts the calculated volume at 55 Å³ per cell. Its energy of formation is -0.50 eV/atom. The energy is -19.49 eV for the cell shown.

a = 2.745 Å, b = 4.487 Å, c = 4.783 Å
α = 110.13°, β = 90.00°, γ = 90.00°
Element x y z (fractional)
Zn 0.500 0.500 0.000
Pt 0.000 0.000 0.000
Pt 0.500 0.000 0.500
Li 0.000 0.500 0.500

=====

# 3
DFT (PBEsol) results for a relaxed structure of Cr2MoPt.

The calculation puts the calculated volume at 53 Å³ per cell. Its energy of formation is 0.02 eV/atom. The energy is -39.12 eV for the cell shown.

a = 3.722 Å, b = 3.722 Å, c = 4.670 Å
α = 113.49°, β = 113.49°, γ = 90.00°
Last column: magnetic moment on the atom in μB.
Element x y z (fractional)
Cr 0.000 0.000 0.000  -0.76
Cr 0.750 0.250 0.500  1.45
Mo 0.500 0.500 0.000  0.05
Pt 0.250 0.750 0.500  0.05

=====

# 4
DFT (PBEsol) results for a relaxed structure of Ta2InSi.

The value obtained for the uncorrected formation energy is -0.027 eV/atom. The calculation puts the calculated volume at 69 Å³ per cell. The energy is -33.94 eV for the cell shown.

a = 3.078 Å, b = 3.078 Å, c = 7.319 Å
α = 90.00°, β = 90.00°, γ = 90.00°
Element x y z (fractional)
In 0.500 0.500 0.000
Si 0.500 0.500 0.500
Ta 0.000 0.000 0.703
Ta 0.000 0.000 0.297

=====

# 5
DFT (PBEsol) results for a relaxed structure of AgS2Br.

The value obtained for the uncorrected formation energy is 0.755 eV/atom. The calculation puts the calculated volume at 71 Å³ per cell. The energy is -10.93 eV for the cell shown. The energy above the lowest structure with this stoichiometry comes out at 608.0 meV/atom.

a = 4.655 Å, b = 4.655 Å, c = 4.655 Å
α = 60.00°, β = 60.00°, γ = 60.00°
Element x y z (fractional)
S 0.250 0.250 0.250
S 0.750 0.750 0.750
Br 0.000 0.000 0.000
Ag 0.500 0.500 0.500

=====

# 6
DFT (PBEsol) results for a relaxed structure of CuSb.

The value obtained for the uncorrected formation energy is 0.079 eV/atom. The calculation puts the calculated volume at 79 Å³ per cell. The energy is -17.47 eV for the cell shown.

a = 4.021 Å, b = 4.021 Å, c = 6.110 Å
α = 70.79°, β = 70.79°, γ = 60.00°
Element x y z (fractional)
Sb 0.093 0.093 0.722
Sb 0.907 0.907 0.278
Cu 0.351 0.351 0.946
Cu 0.649 0.649 0.054

=====

# 7
DFT (PBEsol) results for a relaxed structure of TiInFe2Pt.

The calculation puts the calculated volume at 86 Å³ per cell. Its energy of formation is 0.80 eV/atom. The energy is -32.22 eV for the cell shown.

a = 4.238 Å, b = 4.238 Å, c = 4.782 Å
α = 90.00°, β = 90.00°, γ = 90.00°
Last column: magnetic moment on the atom in μB.
Element x y z (fractional)
Ti 0.000 0.000 0.000  -0.52
Fe 0.000 0.500 0.000  1.77
Fe 0.500 0.000 0.000  1.77
Pt 0.000 0.000 0.500  -0.01
In 0.500 0.500 0.500  -0.02

=====

# 8
DFT (PBEsol) results for a relaxed structure of ScCrPb.

The calculation puts the calculated volume at 69 Å³ per cell. Its energy of formation is 0.28 eV/atom. The energy is -20.01 eV for the cell shown.

a = 4.596 Å, b = 4.596 Å, c = 4.596 Å
α = 60.00°, β = 60.00°, γ = 60.00°
Last column: magnetic moment on the atom in μB.
Element x y z (fractional)
Cr 0.250 0.250 0.250  3.65
Pb 0.000 0.000 0.000  -0.04
Sc 0.500 0.500 0.500  0.58

=====

# 9
DFT (PBEsol) results for a relaxed structure of LaBeTl2Ga.

The calculation puts the calculated volume at 114 Å³ per cell. Its energy of formation is -0.02 eV/atom. The energy is -18.05 eV for the cell shown.

a = 4.640 Å, b = 4.949 Å, c = 4.949 Å
α = 90.00°, β = 90.00°, γ = 90.00°
Element x y z (fractional)
Be 0.000 0.000 0.000
Tl 0.000 0.000 0.500
Tl 0.000 0.500 0.000
Ga 0.500 0.000 0.000
La 0.500 0.500 0.500

=====

# 10
DFT (PBEsol) results for a relaxed structure of ZrBeSb2.

The value obtained for the uncorrected formation energy is -0.126 eV/atom. The calculation puts the calculated volume at 80 Å³ per cell. The energy is -22.71 eV for the cell shown.

a = 3.685 Å, b = 3.685 Å, c = 5.867 Å
α = 90.00°, β = 90.00°, γ = 90.00°
Element x y z (fractional)
Sb 0.000 0.000 0.741
Sb 0.000 0.000 0.259
Zr 0.500 0.500 0.000
Be 0.500 0.500 0.500

=====

# 11
DFT (PBEsol) results for a relaxed structure of Ba3As2O8.

The value obtained for the uncorrected formation energy is -2.280 eV/atom. The calculation puts the calculated volume at 205 Å³ per cell. The energy is -88.29 eV for the cell shown.

a = 5.772 Å, b = 5.772 Å, c = 7.844 Å
α = 68.41°, β = 68.41°, γ = 60.00°
Element x y z (fractional)
As 0.408 0.408 0.777
As 0.592 0.592 0.223
Ba 0.000 0.000 0.000
Ba 0.206 0.206 0.382
Ba 0.794 0.794 0.618
O 0.273 0.759 0.696
O 0.759 0.273 0.696
O 0.273 0.273 0.696
O 0.727 0.241 0.304
O 0.727 0.727 0.304
O 0.241 0.727 0.304
O 0.327 0.327 0.018
O 0.673 0.673 0.982

=====

# 12
DFT (PBEsol) results for a relaxed structure of CrTc.

The calculation puts the calculated volume at 50 Å³ per cell. Its energy of formation is 0.06 eV/atom. The energy is -42.78 eV for the cell shown.

a = 2.907 Å, b = 4.165 Å, c = 4.880 Å
α = 115.26°, β = 107.33°, γ = 90.00°
Element x y z (fractional)
Cr 0.141 0.891 0.281
Cr 0.859 0.109 0.719
Tc 0.616 0.366 0.232
Tc 0.384 0.634 0.768